This record from the Alexandria database describes crystalline HfGa2Pd9 at its relaxed geometry. The functional is PBE.

a b c (Å): 3.9741 3.9741 11.7525
angles (deg): 90.00 90.00 90.00
Fractional positions:
1 Hf 0.0000 0.0000 0.0000
2 Ga 0.0000 0.0000 0.3403
3 Ga 0.0000 0.0000 0.6597
4 Pd 0.0000 0.5000 0.1701
5 Pd 0.0000 0.5000 0.5000
6 Pd 0.0000 0.5000 0.8299
7 Pd 0.5000 0.0000 0.1701
8 Pd 0.5000 0.0000 0.5000
9 Pd 0.5000 0.0000 0.8299
10 Pd 0.5000 0.5000 0.0000
11 Pd 0.5000 0.5000 0.3348
12 Pd 0.5000 0.5000 0.6652

Results
Raw total energy (eV per atom): -5.84
Calculated volume (Å³/cell): 185.6
D(E_F) (states/eV/cell): 10.3
Space group: P4/mmm


This record from the Alexandria database describes crystalline Hf6Ga2Pd at its relaxed geometry. The functional is PBE.

a b c (Å): 5.3241 7.9244 9.9129
angles (deg): 90.00 118.90 90.00
Fractional positions:
1 Hf 0.0197 0.1671 0.4301
2 Hf 0.0197 0.3329 0.9301
3 Hf 0.3633 0.6790 0.4338
4 Hf 0.3633 0.8210 0.9338
5 Hf 0.4078 0.0273 0.3138
6 Hf 0.4078 0.4727 0.8138
7 Hf 0.5921 0.5273 0.1862
8 Hf 0.5921 0.9727 0.6862
9 Hf 0.6367 0.1790 0.0662
10 Hf 0.6367 0.3210 0.5662
11 Hf 0.9803 0.6671 0.0699
12 Hf 0.9803 0.8329 0.5699
13 Ga 0.1714 0.1269 0.7526
14 Ga 0.1714 0.3731 0.2526
15 Ga 0.8286 0.6269 0.7474
16 Ga 0.8286 0.8731 0.2474
17 Pd 0.0000 0.0000 0.0000
18 Pd 0.0000 0.5000 0.5000

Results
Raw total energy (eV per atom): -8.11
Calculated volume (Å³/cell): 366.1
D(E_F) (states/eV/cell): 17.8
Space group: P2_1/c


This record from the Alexandria database describes crystalline Hf2GaPd3 at its relaxed geometry. The functional is PBE.

a b c (Å): 6.4346 6.4346 5.5540
angles (deg): 90.00 90.00 75.51
Fractional positions:
1 Hf 0.0188 0.6270 0.5000
2 Hf 0.3730 0.9812 0.5000
3 Hf 0.6270 0.0188 0.0000
4 Hf 0.9812 0.3730 0.0000
5 Ga 0.2766 0.7234 0.9990
6 Ga 0.7234 0.2766 0.4990
7 Pd 0.0004 0.9996 0.2492
8 Pd 0.9996 0.0004 0.7492
9 Pd 0.3561 0.3562 0.2498
10 Pd 0.3562 0.3561 0.7498
11 Pd 0.6438 0.6439 0.2498
12 Pd 0.6439 0.6438 0.7498

Results
Raw total energy (eV per atom): -6.90
Calculated volume (Å³/cell): 222.6
D(E_F) (states/eV/cell): 7.9
Space group: Cmc2_1


This record from the Alexandria database describes crystalline HfGaPd at its relaxed geometry. The functional is PBE.

a b c (Å): 4.3715 4.3715 4.3715
angles (deg): 60.00 60.00 60.00
Fractional positions:
1 Hf 0.0000 0.0000 0.0000
2 Ga 0.5000 0.5000 0.5000
3 Pd 0.7500 0.7500 0.7500

Results
Raw total energy (eV per atom): -6.58
Calculated volume (Å³/cell): 59.1
D(E_F) (states/eV/cell): 6.1
Space group: F-43m


This record from the Alexandria database describes crystalline Pm2HfGa4Pd3 at its relaxed geometry. The functional is PBE.

a b c (Å): 4.1790 4.1790 11.4787
angles (deg): 90.00 90.00 90.00
Fractional positions:
1 Pm 0.0000 0.5000 0.2440
2 Pm 0.5000 0.0000 0.7560
3 Hf 0.0000 0.0000 0.5000
4 Ga 0.0000 0.0000 0.0000
5 Ga 0.0000 0.5000 0.6539
6 Ga 0.5000 0.0000 0.3461
7 Ga 0.5000 0.5000 0.0000
8 Pd 0.0000 0.5000 0.8713
9 Pd 0.5000 0.0000 0.1287
10 Pd 0.5000 0.5000 0.5000

Results
Raw total energy (eV per atom): -5.42
Calculated volume (Å³/cell): 200.5
D(E_F) (states/eV/cell): 6.7
Space group: P-4m2


This record from the Alexandria database describes crystalline PmHfGa5Pd2 at its relaxed geometry. The functional is PBE.

a b c (Å): 4.8430 4.8430 7.5804
angles (deg): 90.00 90.00 90.00
Fractional positions:
1 Pm 0.0000 0.0000 0.0000
2 Hf 0.0000 0.0000 0.5000
3 Ga 0.0000 0.5000 0.2808
4 Ga 0.0000 0.5000 0.7192
5 Ga 0.5000 0.0000 0.2808
6 Ga 0.5000 0.0000 0.7192
7 Ga 0.5000 0.5000 0.0000
8 Pd 0.5000 0.5000 0.3276
9 Pd 0.5000 0.5000 0.6724

Results
Raw total energy (eV per atom): -4.78
Calculated volume (Å³/cell): 177.8
D(E_F) (states/eV/cell): 4.2
Space group: P4/mmm


This record from the Alexandria database describes crystalline Pr2HfGa4Pd3 at its relaxed geometry. The functional is PBE.

a b c (Å): 4.2304 4.2304 11.4042
angles (deg): 90.00 90.00 90.00
Fractional positions:
1 Pr 0.0000 0.5000 0.2420
2 Pr 0.5000 0.0000 0.7580
3 Hf 0.0000 0.0000 0.5000
4 Ga 0.0000 0.0000 0.0000
5 Ga 0.0000 0.5000 0.6532
6 Ga 0.5000 0.0000 0.3468
7 Ga 0.5000 0.5000 0.0000
8 Pd 0.0000 0.5000 0.8736
9 Pd 0.5000 0.0000 0.1264
10 Pd 0.5000 0.5000 0.5000

Results
Raw total energy (eV per atom): -5.42
Calculated volume (Å³/cell): 204.1
D(E_F) (states/eV/cell): 5.6
Space group: P-4m2


This record from the Alexandria database describes crystalline HfGaPdPt at its relaxed geometry. The functional is PBE.

a b c (Å): 4.5547 4.5547 4.5547
angles (deg): 60.00 60.00 60.00
Fractional positions:
1 Hf 0.0000 0.0000 0.0000
2 Ga 0.5000 0.5000 0.5000
3 Pd 0.2500 0.2500 0.2500
4 Pt 0.7500 0.7500 0.7500

Results
Raw total energy (eV per atom): -6.88
Calculated volume (Å³/cell): 66.8
D(E_F) (states/eV/cell): 3.2
Space group: F-43m